Density functional theory data (PBE) for crystalline AsRuBr2 at its relaxed geometry.

Cell: 8.018 8.018 4.032 Å, 82.73 82.73 23.63°
Each line ends with the local moment (μB).
Positions (direct):
Ru  0.250  0.250  0.250  0.60
Br  0.891  0.891  0.056  0.06
Br  0.609  0.609  0.444  0.06
As  0.750  0.750  0.750  -0.03

Output
Distance to the lowest polymorph of the same formula ... 0.3062 eV/atom
Space group ... C2/m, No. 12


Density functional theory data (PBE) for crystalline AsRuBr2 at its relaxed geometry.

Cell: 3.740 7.325 7.332 Å, 37.36 90.00 90.00°
Positions (direct):
Br  0.000  0.378  0.376
Br  0.000  0.122  0.124
Ru  0.500  0.250  0.250
As  0.500  0.750  0.750

Output
Distance to the lowest polymorph of the same formula ... 0.1667 eV/atom
Space group ... P2/m, No. 10


Density functional theory data (PBE) for crystalline AsRuBr2 at its relaxed geometry.

Cell: 3.312 3.312 9.364 Å, 90.00 90.00 123.70°
Positions (direct):
Br  0.000  0.000  0.461
Br  0.000  0.000  0.039
Ru  0.500  0.500  0.250
As  0.500  0.500  0.750

Output
Distance to the lowest polymorph of the same formula ... 0.7643 eV/atom
Space group ... Cmmm, No. 65


Density functional theory data (PBE) for crystalline AsRu2Br at its relaxed geometry.

Cell: 3.944 3.944 7.938 Å, 61.50 61.50 46.33°
Positions (direct):
Ru  0.557  0.557  0.579
Ru  0.943  0.943  0.921
Br  0.250  0.250  0.250
As  0.750  0.750  0.750

Output
Distance to the lowest polymorph of the same formula ... 0.0000 eV/atom
Space group ... C2/m, No. 12


Density functional theory data (PBE) for crystalline AsRuSBr2 at its relaxed geometry.

Cell: 5.000 5.000 4.773 Å, 90.00 90.00 90.00°
Positions (direct):
Ru  0.000  0.000  0.000
Br  0.500  0.000  0.000
Br  0.000  0.500  0.000
S  0.500  0.500  0.500
As  0.000  0.000  0.500

Output
Distance to the lowest polymorph of the same formula ... 0.0000 eV/atom
Space group ... P4/mmm, No. 123


Density functional theory data (PBE) for crystalline AsRuSBr2 at its relaxed geometry.

Cell: 5.126 5.126 4.857 Å, 90.00 90.00 90.00°
Each line ends with the local moment (μB).
Positions (direct):
Ru  0.500  0.500  0.500  2.72
S  0.000  0.000  0.000  -0.06
Br  0.000  0.500  0.000  0.05
Br  0.500  0.000  0.000  0.05
As  0.000  0.000  0.500  0.09

Output
Distance to the lowest polymorph of the same formula ... 0.6081 eV/atom
Space group ... P4/mmm, No. 123


Density functional theory data (PBE) for crystalline SbAsRuBr2 at its relaxed geometry.

Cell: 5.072 5.072 4.796 Å, 90.00 90.00 90.00°
Positions (direct):
Ru  0.000  0.000  0.000
Br  0.000  0.500  0.000
Br  0.500  0.000  0.000
As  0.000  0.000  0.500
Sb  0.500  0.500  0.500

Output
Distance to the lowest polymorph of the same formula ... 0.0000 eV/atom
Space group ... P4/mmm, No. 123


Density functional theory data (PBE) for crystalline ScAs2RuBr at its relaxed geometry.

Cell: 5.137 5.137 5.079 Å, 90.00 90.00 90.00°
Each line ends with the local moment (μB).
Positions (direct):
Ru  0.500  0.500  0.500  2.57
Sc  0.000  0.000  0.000  0.02
As  0.500  0.000  0.000  -0.06
As  0.000  0.500  0.000  -0.06
Br  0.000  0.000  0.500  0.03

Output
Distance to the lowest polymorph of the same formula ... 0.5210 eV/atom
Space group ... P4/mmm, No. 123


Density functional theory data (PBE) for crystalline ScAs2RuBr at its relaxed geometry.

Cell: 4.739 4.739 5.182 Å, 90.00 90.00 90.00°
Positions (direct):
Br  0.000  0.000  0.500
As  0.500  0.000  0.000
As  0.000  0.500  0.000
Ru  0.000  0.000  0.000
Sc  0.500  0.500  0.500

Output
Distance to the lowest polymorph of the same formula ... 0.0000 eV/atom
Space group ... P4/mmm, No. 123


Density functional theory data (PBE) for crystalline AsRuSe2Br at its relaxed geometry.

Cell: 4.884 4.884 4.893 Å, 90.00 90.00 90.00°
Positions (direct):
Se  0.500  0.000  0.000
Se  0.000  0.500  0.000
Ru  0.000  0.000  0.000
As  0.000  0.000  0.500
Br  0.500  0.500  0.500

Output
Distance to the lowest polymorph of the same formula ... 0.0000 eV/atom
Space group ... P4/mmm, No. 123


Density functional theory data (PBE) for crystalline AsRuSe2Br at its relaxed geometry.

Cell: 4.826 4.826 5.016 Å, 90.00 90.00 90.00°
Positions (direct):
Ru  0.000  0.000  0.000
Se  0.000  0.500  0.000
Se  0.500  0.000  0.000
As  0.500  0.500  0.500
Br  0.000  0.000  0.500

Output
Distance to the lowest polymorph of the same formula ... 0.1185 eV/atom
Space group ... P4/mmm, No. 123


Density functional theory data (PBE) for crystalline AsRuSe2Br at its relaxed geometry.

Cell: 5.059 5.059 5.087 Å, 90.00 90.00 90.00°
Each line ends with the local moment (μB).
Positions (direct):
Ru  0.500  0.500  0.500  2.63
As  0.000  0.000  0.500  0.00
Se  0.500  0.000  0.000  0.01
Se  0.000  0.500  0.000  0.01
Br  0.000  0.000  0.000  -0.07

Output
Distance to the lowest polymorph of the same formula ... 1.2179 eV/atom
Space group ... P4/mmm, No. 123


Density functional theory data (PBE) for crystalline AsRuSe2Br at its relaxed geometry.

Cell: 5.084 5.084 5.098 Å, 90.00 90.00 90.00°
Each line ends with the local moment (μB).
Positions (direct):
Ru  0.500  0.500  0.500  2.88
Se  0.500  0.000  0.000  0.12
Se  0.000  0.500  0.000  0.12
As  0.000  0.000  0.000  0.03
Br  0.000  0.000  0.500  0.08

Output
Distance to the lowest polymorph of the same formula ... 0.6021 eV/atom
Space group ... P4/mmm, No. 123


Density functional theory data (PBE) for crystalline SnAs2RuBr at its relaxed geometry.

Cell: 4.751 4.751 5.429 Å, 90.00 90.00 90.00°
Positions (direct):
Sn  0.500  0.500  0.500
Br  0.000  0.000  0.500
As  0.000  0.500  0.000
As  0.500  0.000  0.000
Ru  0.000  0.000  0.000

Output
Distance to the lowest polymorph of the same formula ... 0.0000 eV/atom
Space group ... P4/mmm, No. 123


Density functional theory data (PBE) for crystalline SrAs2RuBr at its relaxed geometry.

Cell: 4.762 4.762 5.631 Å, 90.00 90.00 90.00°
Positions (direct):
Ru  0.000  0.000  0.000
Sr  0.500  0.500  0.500
As  0.000  0.500  0.000
As  0.500  0.000  0.000
Br  0.000  0.000  0.500

Output
Distance to the lowest polymorph of the same formula ... 0.0000 eV/atom
Space group ... P4/mmm, No. 123


Density functional theory data (PBE) for crystalline SrAs2RuBr at its relaxed geometry.

Cell: 5.733 5.733 5.597 Å, 90.00 90.00 90.00°
Each line ends with the local moment (μB).
Positions (direct):
As  0.500  0.000  0.000  -0.11
As  0.000  0.500  0.000  -0.11
Ru  0.500  0.500  0.500  2.79
Sr  0.000  0.000  0.000  0.01
Br  0.000  0.000  0.500  -0.01

Output
Distance to the lowest polymorph of the same formula ... 1.6357 eV/atom
Space group ... P4/mmm, No. 123


Density functional theory data (PBE) for crystalline SrAsRuBr2 at its relaxed geometry.

Cell: 5.655 5.655 6.231 Å, 90.00 90.00 90.00°
Each line ends with the local moment (μB).
Positions (direct):
As  0.000  0.000  0.500  -0.01
Ru  0.500  0.500  0.500  2.90
Br  0.000  0.500  0.000  0.03
Br  0.500  0.000  0.000  0.03
Sr  0.000  0.000  0.000  0.00

Output
Distance to the lowest polymorph of the same formula ... 1.1411 eV/atom
Space group ... P4/mmm, No. 123


Density functional theory data (PBE) for crystalline SrAsRuBr2 at its relaxed geometry.

Cell: 5.328 5.328 4.692 Å, 90.00 90.00 90.00°
Positions (direct):
As  0.000  0.000  0.500
Br  0.000  0.500  0.000
Br  0.500  0.000  0.000
Ru  0.000  0.000  0.000
Sr  0.500  0.500  0.500

Output
Distance to the lowest polymorph of the same formula ... 0.0000 eV/atom
Space group ... P4/mmm, No. 123


Density functional theory data (PBE) for crystalline TaAsRuBr2 at its relaxed geometry.

Cell: 5.075 5.075 5.113 Å, 90.00 90.00 90.00°
Each line ends with the local moment (μB).
Positions (direct):
Ta  0.000  0.000  0.000  0.01
Br  0.500  0.000  0.000  0.02
Br  0.000  0.500  0.000  0.02
Ru  0.500  0.500  0.500  2.61
As  0.000  0.000  0.500  -0.03

Output
Distance to the lowest polymorph of the same formula ... 0.0000 eV/atom
Space group ... P4/mmm, No. 123


Density functional theory data (PBE) for crystalline TaAsRuBr2 at its relaxed geometry.

Cell: 4.933 4.933 4.772 Å, 90.00 90.00 90.00°
Each line ends with the local moment (μB).
Positions (direct):
As  0.000  0.000  0.500  0.05
Br  0.500  0.000  0.000  0.00
Br  0.000  0.500  0.000  0.00
Ta  0.500  0.500  0.500  -0.15
Ru  0.000  0.000  0.000  -0.15

Output
Distance to the lowest polymorph of the same formula ... 0.2749 eV/atom
Space group ... P4/mmm, No. 123


Density functional theory data (PBE) for crystalline TcAsRuBr2 at its relaxed geometry.

Cell: 5.173 4.666 5.173 Å, 90.00 90.00 90.00°
Each line ends with the local moment (μB).
Positions (direct):
Tc  0.500  0.500  0.500  3.83
As  0.000  0.500  0.000  -0.04
Ru  0.000  0.000  0.000  0.07
Br  0.000  0.000  0.500  0.06
Br  0.500  0.000  0.000  0.06

Output
Distance to the lowest polymorph of the same formula ... 0.0000 eV/atom
Space group ... P4/mmm, No. 123


Density functional theory data (PBE) for crystalline TcAs2RuBr at its relaxed geometry.

Cell: 4.720 4.720 5.237 Å, 90.00 90.00 90.00°
Each line ends with the local moment (μB).
Positions (direct):
Tc  0.500  0.500  0.500  3.59
Ru  0.000  0.000  0.000  -0.19
Br  0.000  0.000  0.500  0.06
As  0.000  0.500  0.000  -0.09
As  0.500  0.000  0.000  -0.09

Output
Distance to the lowest polymorph of the same formula ... 0.0000 eV/atom
Space group ... P4/mmm, No. 123


Density functional theory data (PBE) for crystalline TcAsRuBr2 at its relaxed geometry.

Cell: 5.194 5.194 4.713 Å, 90.00 90.00 90.00°
Each line ends with the local moment (μB).
Positions (direct):
Br  0.000  0.500  0.000  0.08
Br  0.500  0.000  0.000  0.08
As  0.000  0.000  0.500  -0.03
Ru  0.500  0.500  0.500  2.67
Tc  0.000  0.000  0.000  1.06

Output
Distance to the lowest polymorph of the same formula ... 0.1154 eV/atom
Space group ... P4/mmm, No. 123


Density functional theory data (PBE) for crystalline TiAsRuBr2 at its relaxed geometry.

Cell: 5.138 5.138 4.673 Å, 90.00 90.00 90.00°
Each line ends with the local moment (μB).
Positions (direct):
Ti  0.500  0.500  0.500  0.04
Br  0.500  0.000  0.000  0.00
Br  0.000  0.500  0.000  0.00
As  0.000  0.000  0.500  -0.02
Ru  0.000  0.000  0.000  0.16

Output
Distance to the lowest polymorph of the same formula ... 0.0533 eV/atom
Space group ... P4/mmm, No. 123


Density functional theory data (PBE) for crystalline TiAsRuBr2 at its relaxed geometry.

Cell: 4.953 4.953 5.126 Å, 90.00 90.00 90.00°
Each line ends with the local moment (μB).
Positions (direct):
Br  0.000  0.500  0.000  0.05
Br  0.500  0.000  0.000  0.05
As  0.000  0.000  0.500  -0.01
Ti  0.000  0.000  0.000  0.29
Ru  0.500  0.500  0.500  2.70

Output
Distance to the lowest polymorph of the same formula ... 0.0000 eV/atom
Space group ... P4/mmm, No. 123


Density functional theory data (PBE) for crystalline TlAs2RuBr at its relaxed geometry.

Cell: 4.744 4.744 5.805 Å, 90.00 90.00 90.00°
Positions (direct):
As  0.000  0.500  0.000
As  0.500  0.000  0.000
Tl  0.500  0.500  0.500
Br  0.000  0.000  0.500
Ru  0.000  0.000  0.000

Output
Distance to the lowest polymorph of the same formula ... 0.0000 eV/atom
Space group ... P4/mmm, No. 123


Density functional theory data (PBE) for crystalline TlAs2RuBr at its relaxed geometry.

Cell: 5.288 5.288 5.575 Å, 90.00 90.00 90.00°
Each line ends with the local moment (μB).
Positions (direct):
Br  0.000  0.000  0.500  0.03
As  0.500  0.000  0.000  -0.11
As  0.000  0.500  0.000  -0.11
Ru  0.500  0.500  0.500  2.65
Tl  0.000  0.000  0.000  0.00

Output
Distance to the lowest polymorph of the same formula ... 1.4236 eV/atom
Space group ... P4/mmm, No. 123


Density functional theory data (PBE) for crystalline VAs2RuBr at its relaxed geometry.

Cell: 4.685 4.685 5.371 Å, 90.00 90.00 90.00°
Each line ends with the local moment (μB).
Positions (direct):
V  0.500  0.500  0.500  3.02
As  0.000  0.500  0.000  -0.09
As  0.500  0.000  0.000  -0.09
Ru  0.000  0.000  0.000  0.04
Br  0.000  0.000  0.500  -0.05

Output
Distance to the lowest polymorph of the same formula ... 0.0000 eV/atom
Space group ... P4/mmm, No. 123


Density functional theory data (PBE) for crystalline VAs2RuBr at its relaxed geometry.

Cell: 4.695 4.695 5.091 Å, 90.00 90.00 90.00°
Each line ends with the local moment (μB).
Positions (direct):
Br  0.000  0.000  0.500  0.09
As  0.500  0.000  0.000  -0.10
As  0.000  0.500  0.000  -0.10
Ru  0.500  0.500  0.500  2.33
V  0.000  0.000  0.000  1.12

Output
Distance to the lowest polymorph of the same formula ... 0.1620 eV/atom
Space group ... P4/mmm, No. 123